1.
The following is a DFT calculation (GGA-PBE) of crystalline Li2ErHg6 at its relaxed geometry.

a = 9.254 Å, b = 9.260 Å, c = 4.754 Å
α = 90.00°, β = 90.00°, γ = 90.00°
Sites, in units of the cell vectors:
Li  0.195  0.202  0.000
Li  0.305  0.702  0.500
Li  0.695  0.298  0.500
Li  0.805  0.798  0.000
Er  0.000  0.000  0.500
Er  0.500  0.500  0.000
Hg  0.021  0.328  0.500
Hg  0.148  0.860  0.000
Hg  0.172  0.528  0.000
Hg  0.328  0.028  0.500
Hg  0.352  0.360  0.500
Hg  0.479  0.828  0.000
Hg  0.521  0.172  0.000
Hg  0.648  0.640  0.500
Hg  0.672  0.972  0.500
Hg  0.828  0.472  0.000
Hg  0.852  0.140  0.000
Hg  0.979  0.672  0.500

Results
E_tot ... -25.34 eV per cell
Energy of formation ... -0.274 eV/atom


2.
The following is a DFT calculation (GGA-PBE) of crystalline LiEr5Hg4 at its relaxed geometry.

a = 3.702 Å, b = 3.702 Å, c = 18.282 Å
α = 90.00°, β = 90.00°, γ = 90.00°
Sites, in units of the cell vectors:
Li  0.000  0.000  0.000
Er  0.500  0.500  0.100
Er  0.500  0.500  0.299
Er  0.500  0.500  0.500
Er  0.500  0.500  0.701
Er  0.500  0.500  0.900
Hg  0.000  0.000  0.196
Hg  0.000  0.000  0.399
Hg  0.000  0.000  0.601
Hg  0.000  0.000  0.804

Results
E_tot ... -29.55 eV per cell
Energy of formation ... -0.361 eV/atom


3.
The following is a DFT calculation (GGA-PBE) of crystalline LiErHg2 at its relaxed geometry.

a = 7.969 Å, b = 7.969 Å, c = 7.969 Å
α = 27.63°, β = 27.63°, γ = 27.63°
Sites, in units of the cell vectors:
Li  0.000  0.000  0.000
Er  0.831  0.831  0.831
Hg  0.259  0.259  0.259
Hg  0.404  0.404  0.404

Results
E_tot ... -8.18 eV per cell
Energy of formation ... -0.274 eV/atom


4.
The following is a DFT calculation (GGA-PBE) of crystalline Li3Er2Hg4 at its relaxed geometry.

a = 8.336 Å, b = 8.336 Å, c = 8.223 Å
α = 90.00°, β = 90.00°, γ = 137.96°
Sites, in units of the cell vectors:
Li  0.000  0.000  0.000
Li  0.032  0.468  0.250
Li  0.468  0.032  0.750
Li  0.500  0.500  0.500
Li  0.532  0.968  0.250
Li  0.968  0.532  0.750
Er  0.115  0.885  0.417
Er  0.385  0.615  0.917
Er  0.615  0.385  0.083
Er  0.885  0.115  0.583
Hg  0.183  0.817  0.040
Hg  0.204  0.296  0.250
Hg  0.296  0.204  0.750
Hg  0.317  0.683  0.540
Hg  0.683  0.317  0.460
Hg  0.704  0.796  0.250
Hg  0.796  0.704  0.750
Hg  0.817  0.183  0.960

Results
E_tot ... -38.48 eV per cell
Energy of formation ... -0.352 eV/atom


5.
The following is a DFT calculation (GGA-PBE) of crystalline Li4ErHg2 at its relaxed geometry.

a = 9.520 Å, b = 9.520 Å, c = 4.279 Å
α = 90.00°, β = 90.00°, γ = 157.80°
Sites, in units of the cell vectors:
Li  0.175  0.825  0.000
Li  0.309  0.691  0.500
Li  0.691  0.309  0.500
Li  0.825  0.175  0.000
Er  0.500  0.500  0.000
Hg  0.082  0.918  0.500
Hg  0.918  0.082  0.500

Results
E_tot ... -14.41 eV per cell
Energy of formation ... -0.227 eV/atom


6.
The following is a DFT calculation (GGA-PBE) of crystalline Li4ErHg5 at its relaxed geometry.

a = 3.444 Å, b = 3.444 Å, c = 16.695 Å
α = 90.00°, β = 90.00°, γ = 90.00°
Sites, in units of the cell vectors:
Li  0.000  0.000  0.094
Li  0.000  0.000  0.284
Li  0.000  0.000  0.716
Li  0.000  0.000  0.906
Er  0.000  0.000  0.500
Hg  0.500  0.500  0.000
Hg  0.500  0.500  0.189
Hg  0.500  0.500  0.379
Hg  0.500  0.500  0.621
Hg  0.500  0.500  0.811

Results
E_tot ... -17.51 eV per cell
Energy of formation ... -0.379 eV/atom


7.
The following is a DFT calculation (GGA-PBE) of crystalline Li2Er3Hg6 at its relaxed geometry.

a = 12.276 Å, b = 12.276 Å, c = 12.276 Å
α = 158.19°, β = 158.19°, γ = 31.04°
Sites, in units of the cell vectors:
Li  0.050  0.050  0.000
Li  0.950  0.950  0.000
Er  0.308  0.308  0.000
Er  0.500  0.500  0.000
Er  0.692  0.692  0.000
Hg  0.095  0.595  0.500
Hg  0.184  0.184  0.000
Hg  0.405  0.905  0.500
Hg  0.595  0.095  0.500
Hg  0.816  0.816  0.000
Hg  0.905  0.405  0.500

Results
E_tot ... -22.23 eV per cell
Energy of formation ... -0.264 eV/atom


8.
The following is a DFT calculation (GGA-PBE) of crystalline LiEr2Hg at its relaxed geometry.

a = 5.099 Å, b = 5.099 Å, c = 3.768 Å
α = 90.00°, β = 90.00°, γ = 90.00°
Sites, in units of the cell vectors:
Li  0.000  0.000  0.000
Er  0.000  0.500  0.500
Er  0.500  0.000  0.500
Hg  0.500  0.500  0.000

Results
E_tot ... -12.27 eV per cell
Energy of formation ... -0.231 eV/atom


9.
The following is a DFT calculation (GGA-PBE) of crystalline LiErHg4 at its relaxed geometry.

a = 4.677 Å, b = 4.677 Å, c = 7.045 Å
α = 90.15°, β = 90.15°, γ = 89.95°
Sites, in units of the cell vectors:
Li  0.000  0.000  0.000
Er  0.500  0.500  0.500
Hg  0.001  0.500  0.781
Hg  0.500  0.001  0.781
Hg  0.500  0.999  0.219
Hg  0.999  0.500  0.219

Results
E_tot ... -8.62 eV per cell
Energy of formation ... -0.156 eV/atom


10.
The following is a DFT calculation (GGA-PBE) of crystalline LiEr6Hg5 at its relaxed geometry.

a = 9.048 Å, b = 9.048 Å, c = 9.048 Å
α = 146.76°, β = 131.91°, γ = 59.71°
Sites, in units of the cell vectors:
Li  0.000  0.000  0.000
Er  0.081  0.832  0.249
Er  0.255  0.500  0.755
Er  0.418  0.168  0.249
Er  0.582  0.832  0.751
Er  0.745  0.500  0.245
Er  0.919  0.168  0.751
Hg  0.153  0.653  0.500
Hg  0.333  0.333  0.000
Hg  0.500  0.000  0.500
Hg  0.667  0.667  0.000
Hg  0.847  0.347  0.500

Results
E_tot ... -35.72 eV per cell
Energy of formation ... -0.410 eV/atom


11.
The following is a DFT calculation (GGA-PBE) of crystalline LiEr2Hg6 at its relaxed geometry.

a = 5.974 Å, b = 5.974 Å, c = 5.926 Å
α = 90.78°, β = 90.78°, γ = 90.72°
Sites, in units of the cell vectors:
Li  0.000  0.000  0.000
Er  0.327  0.327  0.326
Er  0.673  0.673  0.674
Hg  0.165  0.499  0.833
Hg  0.165  0.835  0.500
Hg  0.499  0.165  0.833
Hg  0.501  0.835  0.167
Hg  0.835  0.165  0.500
Hg  0.835  0.501  0.167

Results
E_tot ... -15.55 eV per cell
Energy of formation ... -0.300 eV/atom


12.
The following is a DFT calculation (GGA-PBE) of crystalline LiEr3Hg2 at its relaxed geometry.

a = 5.177 Å, b = 5.177 Å, c = 12.803 Å
α = 90.00°, β = 90.00°, γ = 120.00°
Sites, in units of the cell vectors:
Li  0.333  0.667  0.172
Li  0.667  0.333  0.828
Er  0.000  0.000  0.251
Er  0.000  0.000  0.749
Er  0.333  0.667  0.418
Er  0.333  0.667  0.921
Er  0.667  0.333  0.079
Er  0.667  0.333  0.582
Hg  0.000  0.000  0.000
Hg  0.000  0.000  0.500
Hg  0.333  0.667  0.683
Hg  0.667  0.333  0.317

Results
E_tot ... -36.23 eV per cell
Energy of formation ... -0.318 eV/atom


13.
The following is a DFT calculation (GGA-PBE) of crystalline LiErHg2 at its relaxed geometry.

a = 3.487 Å, b = 3.487 Å, c = 7.182 Å
α = 90.00°, β = 90.00°, γ = 90.00°
Sites, in units of the cell vectors:
Li  0.000  0.000  0.000
Er  0.000  0.000  0.500
Hg  0.500  0.500  0.223
Hg  0.500  0.500  0.777

Results
E_tot ... -8.63 eV per cell
Energy of formation ... -0.388 eV/atom


14.
The following is a DFT calculation (GGA-PBE) of crystalline Li4Er9Hg11 at its relaxed geometry.

a = 13.049 Å, b = 13.049 Å, c = 3.492 Å
α = 90.00°, β = 90.00°, γ = 110.32°
Sites, in units of the cell vectors:
Li  0.052  0.247  0.000
Li  0.247  0.052  0.000
Li  0.753  0.948  0.000
Li  0.948  0.753  0.000
Er  0.000  0.000  0.000
Er  0.129  0.643  0.000
Er  0.286  0.445  0.000
Er  0.357  0.871  0.000
Er  0.445  0.286  0.000
Er  0.555  0.714  0.000
Er  0.643  0.129  0.000
Er  0.714  0.555  0.000
Er  0.871  0.357  0.000
Hg  0.084  0.429  0.500
Hg  0.134  0.866  0.500
Hg  0.205  0.205  0.500
Hg  0.337  0.663  0.500
Hg  0.429  0.084  0.500
Hg  0.500  0.500  0.500
Hg  0.571  0.916  0.500
Hg  0.663  0.337  0.500
Hg  0.795  0.795  0.500
Hg  0.866  0.134  0.500
Hg  0.916  0.571  0.500

Results
E_tot ... -60.92 eV per cell
Energy of formation ... -0.370 eV/atom


15.
The following is a DFT calculation (GGA-PBE) of crystalline LiEr2Hg5 at its relaxed geometry.

a = 8.156 Å, b = 8.156 Å, c = 8.156 Å
α = 144.03°, β = 144.03°, γ = 51.79°
Sites, in units of the cell vectors:
Li  0.000  0.000  0.000
Er  0.259  0.259  0.000
Er  0.741  0.741  0.000
Hg  0.121  0.621  0.500
Hg  0.379  0.879  0.500
Hg  0.500  0.500  0.000
Hg  0.621  0.121  0.500
Hg  0.879  0.379  0.500

Results
E_tot ... -15.11 eV per cell
Energy of formation ... -0.320 eV/atom


16.
The following is a DFT calculation (GGA-PBE) of crystalline Li2ErHg3 at its relaxed geometry.

a = 4.912 Å, b = 4.912 Å, c = 12.081 Å
α = 90.00°, β = 90.00°, γ = 120.00°
Sites, in units of the cell vectors:
Li  0.000  0.000  0.000
Li  0.000  0.000  0.500
Li  0.333  0.667  0.163
Li  0.667  0.333  0.837
Er  0.333  0.667  0.672
Er  0.667  0.333  0.328
Hg  0.000  0.000  0.234
Hg  0.000  0.000  0.766
Hg  0.333  0.667  0.421
Hg  0.333  0.667  0.926
Hg  0.667  0.333  0.074
Hg  0.667  0.333  0.579

Results
E_tot ... -23.31 eV per cell
Energy of formation ... -0.394 eV/atom


17.
The following is a DFT calculation (GGA-PBE) of crystalline LiEr2Hg6 at its relaxed geometry.

a = 8.798 Å, b = 8.798 Å, c = 5.305 Å
α = 98.64°, β = 98.64°, γ = 144.08°
Sites, in units of the cell vectors:
Li  0.000  0.000  0.000
Er  0.166  0.834  0.500
Er  0.834  0.166  0.500
Hg  0.170  0.489  0.163
Hg  0.327  0.327  0.661
Hg  0.489  0.170  0.163
Hg  0.511  0.830  0.837
Hg  0.673  0.673  0.339
Hg  0.830  0.511  0.837

Results
E_tot ... -15.86 eV per cell
Energy of formation ... -0.334 eV/atom


18.
The following is a DFT calculation (GGA-PBE) of crystalline Li12ErHg6 at its relaxed geometry.

a = 7.281 Å, b = 7.281 Å, c = 7.281 Å
α = 88.48°, β = 88.48°, γ = 88.48°
Sites, in units of the cell vectors:
Li  0.024  0.312  0.905
Li  0.095  0.976  0.688
Li  0.103  0.338  0.452
Li  0.312  0.905  0.024
Li  0.338  0.452  0.103
Li  0.452  0.103  0.338
Li  0.548  0.897  0.662
Li  0.662  0.548  0.897
Li  0.688  0.095  0.976
Li  0.897  0.662  0.548
Li  0.905  0.024  0.312
Li  0.976  0.688  0.095
Er  0.500  0.500  0.500
Hg  0.211  0.779  0.374
Hg  0.221  0.626  0.789
Hg  0.374  0.211  0.779
Hg  0.626  0.789  0.221
Hg  0.779  0.374  0.211
Hg  0.789  0.221  0.626

Results
E_tot ... -33.88 eV per cell
Energy of formation ... -0.239 eV/atom


19.
The following is a DFT calculation (GGA-PBE) of crystalline LiErHg6 at its relaxed geometry.

a = 5.046 Å, b = 6.508 Å, c = 6.508 Å
α = 60.07°, β = 90.00°, γ = 90.00°
Sites, in units of the cell vectors:
Li  0.000  0.000  0.000
Er  0.500  0.669  0.669
Hg  0.000  0.004  0.500
Hg  0.000  0.500  0.004
Hg  0.000  0.501  0.501
Hg  0.500  0.164  0.164
Hg  0.500  0.164  0.677
Hg  0.500  0.677  0.164

Results
E_tot ... -10.31 eV per cell
Energy of formation ... -0.252 eV/atom


20.
The following is a DFT calculation (GGA-PBE) of crystalline LiEr3Hg2 at its relaxed geometry.

a = 8.191 Å, b = 8.191 Å, c = 3.764 Å
α = 90.00°, β = 90.00°, γ = 143.82°
Sites, in units of the cell vectors:
Li  0.000  0.000  0.000
Er  0.169  0.831  0.500
Er  0.500  0.500  0.500
Er  0.831  0.169  0.500
Hg  0.344  0.656  0.000
Hg  0.656  0.344  0.000

Results
E_tot ... -18.10 eV per cell
Energy of formation ... -0.316 eV/atom